[1]
NdEuCdSi | PBE | optimized geometry

a b c (Å): 5.306 5.306 5.306
angles (deg): 60.00 60.00 60.00
Positions (direct):
Si 0.750 0.750 0.750
Nd 0.500 0.500 0.500
Cd 0.250 0.250 0.250
Eu 0.000 0.000 0.000

Results
The calculation puts the raw formation energy at -0.36 eV/atom. The calculation puts the total DFT energy (no corrections) at -5.706 eV per atom. The size of the total moment comes out at 1.88 μB/atom. The density of states at the Fermi level is 2.6 states/eV/f.u.

---

[2]
VSn3Ge | PBE | optimized geometry

a b c (Å): 5.153 5.153 5.153
angles (deg): 90.00 90.00 90.00
Positions (direct):
V 0.000 0.000 0.000
Ge 0.500 0.500 0.500
Sn 0.500 0.000 0.000
Sn 0.000 0.500 0.000
Sn 0.000 0.000 0.500

Results
Its relative energy among the computed polymorphs is 0 kJ/mol of formula units. The calculation puts the total DFT energy (no corrections) at -4.660 eV per atom. The size of the total moment comes out at 0.12 μB/atom. The calculation puts the formation energy at 0.4890 eV per atom. The density of states at the Fermi level is 5.0 states/eV/f.u.

---

[3]
NaAlHgCl4 | PBE | optimized geometry

a b c (Å): 6.939 7.135 11.500
angles (deg): 90.00 116.71 90.00
Positions (direct):
Cl 0.549 0.250 0.441
Cl 0.451 0.750 0.559
Cl 0.012 0.010 0.664
Cl 0.343 0.750 0.233
Cl 0.988 0.990 0.336
Cl 0.657 0.250 0.767
Cl 0.988 0.510 0.336
Cl 0.012 0.490 0.664
Na 0.241 0.250 0.548
Na 0.759 0.750 0.452
Hg 0.438 0.250 0.038
Hg 0.562 0.750 0.962
Al 0.805 0.250 0.639
Al 0.195 0.750 0.361

Results
The calculation puts the raw formation energy at -1.41 eV/atom. The calculation puts the total DFT energy (no corrections) at -3.229 eV per atom. The size of the total moment comes out at 0.00 μB/atom. The density of states at the Fermi level is 0.0 states/eV/f.u.

---

[4]
CaTa | PBE | optimized geometry

a b c (Å): 3.159 3.159 11.193
angles (deg): 90.00 90.00 120.00
Positions (direct):
Ca 0.667 0.333 0.278
Ca 0.000 0.000 0.972
Ta 0.667 0.333 0.731
Ta 0.000 0.000 0.519

Results
Its relative energy among the computed polymorphs is 63 kJ/mol of formula units. The calculation puts the total DFT energy (no corrections) at -6.246 eV per atom. The size of the total moment comes out at 0.00 μB/atom. The calculation puts the formation energy at 0.6808 eV per atom. The density of states at the Fermi level is 2.0 states/eV/f.u.

---

[5]
Tb3Pr2SmBi6 | PBE | optimized geometry

a b c (Å): 4.555 9.105 10.177
angles (deg): 102.84 102.93 90.00
Positions (direct):
Bi 0.997 0.252 0.995
Bi 0.003 0.748 0.005
Bi 0.335 0.411 0.671
Bi 0.333 0.923 0.665
Bi 0.667 0.077 0.335
Bi 0.665 0.589 0.329
Tb 0.500 0.500 0.000
Tb 0.833 0.166 0.665
Tb 0.167 0.834 0.335
Sm 0.500 0.000 0.000
Pr 0.834 0.667 0.668
Pr 0.166 0.333 0.332

Results
The calculation puts the total DFT energy (no corrections) at -5.200 eV per atom. The size of the total moment comes out at 0.00 μB/atom. The calculation puts the formation energy at -0.9117 eV per atom. The density of states at the Fermi level is 2.0 states/eV/f.u.

---

[6]
BaFeAg | PBE | optimized geometry

a b c (Å): 6.368 6.368 6.368
angles (deg): 146.58 146.58 47.98
Positions (direct):
Ag 0.046 0.046 0.000
Fe 0.621 0.621 0.000
Ba 0.333 0.333 0.000

Results
The calculation puts the total DFT energy (no corrections) at -3.921 eV per atom. The size of the total moment comes out at 0.98 μB/atom. The calculation puts the formation energy at 0.4908 eV per atom. The density of states at the Fermi level is 4.0 states/eV/f.u.

---

[7]
TlAsPCl2 | PBE | optimized geometry

a b c (Å): 5.264 5.264 4.848
angles (deg): 90.00 90.00 90.00
Positions (direct):
Cl 0.500 0.000 0.000
Cl 0.000 0.500 0.000
Tl 0.500 0.500 0.500
As 0.000 0.000 0.000
P 0.000 0.000 0.500

Results
The calculation puts the raw formation energy at -0.07 eV/atom. Its relative energy among the computed polymorphs is 0 kJ/mol of formula units. The calculation puts the total DFT energy (no corrections) at -3.294 eV per atom. The size of the total moment comes out at 0.15 μB/atom. The density of states at the Fermi level is 2.6 states/eV/f.u.

---

[8]
Cs2Mo2As | PBE | optimized geometry

a b c (Å): 3.543 3.543 13.081
angles (deg): 82.22 82.22 90.00
Positions (direct):
Mo 0.750 0.250 0.500
Mo 0.250 0.750 0.500
Cs 0.602 0.602 0.796
Cs 0.398 0.398 0.204
As 0.000 0.000 0.000

Results
The calculation puts the total DFT energy (no corrections) at -4.824 eV per atom. The size of the total moment comes out at 0.00 μB/atom. The calculation puts the formation energy at 0.7799 eV per atom. The density of states at the Fermi level is 4.3 states/eV/f.u.